# PBE-GGA La3Pm7Nd, optimized geometry
data_La3Pm7Nd
_cell_length_a 11.9325
_cell_length_b 10.3020
_cell_length_c 6.5351
_cell_angle_alpha 90.00
_cell_angle_beta 94.97
_cell_angle_gamma 90.00
_symmetry_space_group_name_H-M 'C 1 2/m 1'
_symmetry_Int_Tables_number 12
loop_
_symmetry_equiv_pos_as_xyz
'x,y,z'
'-x,-y,-z'
'-x,y,-z'
'x,-y,z'
'x+1/2,y+1/2,z'
'-x+1/2,-y+1/2,-z'
'-x+1/2,y+1/2,-z'
'x+1/2,-y+1/2,z'
loop_
_atom_site_label
_atom_site_type_symbol
_atom_site_fract_x
_atom_site_fract_y
_atom_site_fract_z
La1 La 0.0000 0.0000 0.0000
La2 La 0.0000 0.1755 0.5000
Pm1 Pm 0.0000 0.5000 0.5000
Pm2 Pm 0.2374 0.0000 0.7111
Pm3 Pm 0.2436 0.3275 0.7613
Nd1 Nd 0.0000 0.5000 0.0000
# distance to the lowest polymorph of the same formula: 0.0 meV per atom
# total magnetization: 0.00 μB per formula unit
# V: 36.378 Å³/atom
# crystal system: monoclinic

# PBE-GGA LaPm3Nd2, optimized geometry
data_LaPm3Nd2
_cell_length_a 7.3572
_cell_length_b 7.3572
_cell_length_c 9.0082
_cell_angle_alpha 90.00
_cell_angle_beta 90.00
_cell_angle_gamma 120.00
_symmetry_space_group_name_H-M 'P -3 m 1'
_symmetry_Int_Tables_number 164
_symmetry_space_group_name_Hall '-P 3 2"'
loop_
_atom_site_label
_atom_site_type_symbol
_atom_site_fract_x
_atom_site_fract_y
_atom_site_fract_z
La1 La 0.3333 0.6667 0.3340
Pm1 Pm 0.1665 0.3329 0.6670
Nd1 Nd 0.0000 0.0000 0.0000
Nd2 Nd 0.0000 0.5000 0.0000
# distance to the lowest polymorph of the same formula: 0.0 meV per atom
# total magnetization: 0.00 μB per formula unit
# V: 35.189 Å³/atom
# crystal system: trigonal

# PBE-GGA La6Pm2Nd, optimized geometry
data_La6Pm2Nd
_cell_length_a 6.6130
_cell_length_b 6.6130
_cell_length_c 9.5039
_cell_angle_alpha 90.00
_cell_angle_beta 90.00
_cell_angle_gamma 120.00
_symmetry_space_group_name_H-M 'P -3 1 m'
_symmetry_Int_Tables_number 162
_symmetry_space_group_name_Hall '-P 3 2'
loop_
_atom_site_label
_atom_site_type_symbol
_atom_site_fract_x
_atom_site_fract_y
_atom_site_fract_z
La1 La 0.0000 0.3604 0.2014
Pm1 Pm 0.3333 0.6667 0.5000
Nd1 Nd 0.0000 0.0000 0.0000
# distance to the lowest polymorph of the same formula: 340.8 meV per atom
# total magnetization: 0.00 μB per formula unit
# V: 39.993 Å³/atom
# crystal system: trigonal

# PBE-GGA La7Pm2Nd, optimized geometry
data_La7Pm2Nd
_cell_length_a 9.0635
_cell_length_b 16.2597
_cell_length_c 5.6729
_cell_angle_alpha 90.00
_cell_angle_beta 90.00
_cell_angle_gamma 90.00
_symmetry_space_group_name_H-M 'C m m m'
_symmetry_Int_Tables_number 65
_symmetry_space_group_name_Hall '-C 2 2'
loop_
_atom_site_label
_atom_site_type_symbol
_atom_site_fract_x
_atom_site_fract_y
_atom_site_fract_z
La1 La 0.0000 0.0000 0.0000
La2 La 0.0000 0.2578 0.5000
La3 La 0.1867 0.3852 0.0000
Pm1 Pm 0.0000 0.2005 0.0000
Nd1 Nd 0.0000 0.5000 0.5000
# distance to the lowest polymorph of the same formula: 243.9 meV per atom
# total magnetization: 0.39 μB per formula unit
# V: 41.800 Å³/atom
# crystal system: orthorhombic

# PBE-GGA La2Pm3Nd3, optimized geometry
data_La2Pm3Nd3
_cell_length_a 3.6149
_cell_length_b 13.7041
_cell_length_c 22.9555
_cell_angle_alpha 90.00
_cell_angle_beta 90.00
_cell_angle_gamma 90.00
_symmetry_space_group_name_H-M 'C m c m'
_symmetry_Int_Tables_number 63
_symmetry_space_group_name_Hall '-C 2c 2'
loop_
_atom_site_label
_atom_site_type_symbol
_atom_site_fract_x
_atom_site_fract_y
_atom_site_fract_z
La1 La 0.0000 0.2447 0.1271
Pm1 Pm 0.0000 0.3705 0.5048
Pm2 Pm 0.0000 0.3718 0.2500
Nd1 Nd 0.0000 0.0118 0.6239
Nd2 Nd 0.0000 0.3765 0.7500
# distance to the lowest polymorph of the same formula: 41.6 meV per atom
# total magnetization: 0.00 μB per formula unit
# V: 35.537 Å³/atom
# crystal system: orthorhombic

# PBE-GGA La3Pm6Nd, optimized geometry
data_La3Pm6Nd
_cell_length_a 11.1740
_cell_length_b 19.6243
_cell_length_c 6.4696
_cell_angle_alpha 90.00
_cell_angle_beta 90.00
_cell_angle_gamma 90.00
_symmetry_space_group_name_H-M 'C m c 21'
_symmetry_Int_Tables_number 36
loop_
_symmetry_equiv_pos_as_xyz
'x,y,z'
'-x,-y,z+1/2'
'-x,y,z'
'x,-y,z+1/2'
'x+1/2,y+1/2,z'
'-x+1/2,-y+1/2,z+1/2'
'-x+1/2,y+1/2,z'
'x+1/2,-y+1/2,z+1/2'
loop_
_atom_site_label
_atom_site_type_symbol
_atom_site_fract_x
_atom_site_fract_y
_atom_site_fract_z
La1 La 0.0000 0.1148 0.0000
La2 La 0.1741 0.3835 0.6154
Pm1 Pm 0.0000 0.2204 0.4360
Pm2 Pm 0.0000 0.4659 0.2126
Pm3 Pm 0.1701 0.0428 0.5271
Pm4 Pm 0.2372 0.2088 0.7065
Nd1 Nd 0.0000 0.3103 0.9728
# distance to the lowest polymorph of the same formula: 0.0 meV per atom
# total magnetization: 0.00 μB per formula unit
# V: 35.466 Å³/atom
# crystal system: orthorhombic

# PBE-GGA LaPm8Nd5, optimized geometry
data_LaPm8Nd5
_cell_length_a 9.7198
_cell_length_b 9.7198
_cell_length_c 10.5298
_cell_angle_alpha 90.00
_cell_angle_beta 90.00
_cell_angle_gamma 90.00
_symmetry_space_group_name_H-M 'I -4'
_symmetry_Int_Tables_number 82
loop_
_symmetry_equiv_pos_as_xyz
'x,y,z'
'y,-x,-z'
'-x,-y,z'
'-y,x,-z'
'x+1/2,y+1/2,z+1/2'
'y+1/2,-x+1/2,-z+1/2'
'-x+1/2,-y+1/2,z+1/2'
'-y+1/2,x+1/2,-z+1/2'
loop_
_atom_site_label
_atom_site_type_symbol
_atom_site_fract_x
_atom_site_fract_y
_atom_site_fract_z
La1 La 0.0000 0.0000 0.0000
Pm1 Pm 0.0735 0.1782 0.6432
Pm2 Pm 0.0792 0.3186 0.9952
Nd1 Nd 0.0000 0.5000 0.7500
Nd2 Nd 0.1086 0.2897 0.3221
# total magnetization: 0.00 μB per formula unit
# V: 35.528 Å³/atom
# crystal system: tetragonal

# PBE-GGA La4Pm15Nd, optimized geometry
data_La4Pm15Nd
_cell_length_a 5.2036
_cell_length_b 5.2036
_cell_length_c 25.9211
_cell_angle_alpha 90.00
_cell_angle_beta 90.00
_cell_angle_gamma 90.00
_symmetry_space_group_name_H-M 'P 4/m m m'
_symmetry_Int_Tables_number 123
_symmetry_space_group_name_Hall '-P 4 2'
loop_
_atom_site_label
_atom_site_type_symbol
_atom_site_fract_x
_atom_site_fract_y
_atom_site_fract_z
La1 La 0.0000 0.0000 0.1001
La2 La 0.0000 0.0000 0.3001
Pm1 Pm 0.0000 0.5000 0.0000
Pm2 Pm 0.0000 0.5000 0.2002
Pm3 Pm 0.0000 0.5000 0.4007
Pm4 Pm 0.5000 0.5000 0.1001
Pm5 Pm 0.5000 0.5000 0.3008
Pm6 Pm 0.5000 0.5000 0.5000
Nd1 Nd 0.0000 0.0000 0.5000
# total magnetization: 0.00 μB per formula unit
# V: 35.094 Å³/atom
# crystal system: tetragonal

# PBE-GGA LaPm12Nd5, optimized geometry
data_LaPm12Nd5
_cell_length_a 11.6677
_cell_length_b 17.7566
_cell_length_c 6.0977
_cell_angle_alpha 90.00
_cell_angle_beta 90.13
_cell_angle_gamma 90.00
_symmetry_space_group_name_H-M 'C 1 2/m 1'
_symmetry_Int_Tables_number 12
loop_
_symmetry_equiv_pos_as_xyz
'x,y,z'
'-x,-y,-z'
'-x,y,-z'
'x,-y,z'
'x+1/2,y+1/2,z'
'-x+1/2,-y+1/2,-z'
'-x+1/2,y+1/2,-z'
'x+1/2,-y+1/2,z'
loop_
_atom_site_label
_atom_site_type_symbol
_atom_site_fract_x
_atom_site_fract_y
_atom_site_fract_z
La1 La 0.0000 0.0000 0.0000
Pm1 Pm 0.1724 0.5000 0.9530
Pm2 Pm 0.1771 0.3332 0.5539
Pm3 Pm 0.1785 0.0000 0.5478
Pm4 Pm 0.1800 0.1662 0.9452
Nd1 Nd 0.0000 0.1669 0.5000
Nd2 Nd 0.0000 0.3296 0.0000
Nd3 Nd 0.0000 0.5000 0.5000
# total magnetization: 0.00 μB per formula unit
# V: 35.092 Å³/atom
# crystal system: monoclinic

# PBE-GGA LaPm7Nd12, optimized geometry
data_LaPm7Nd12
_cell_length_a 11.6775
_cell_length_b 11.6775
_cell_length_c 11.6775
_cell_angle_alpha 90.00
_cell_angle_beta 90.00
_cell_angle_gamma 90.00
_symmetry_space_group_name_H-M 'I m -3'
_symmetry_Int_Tables_number 204
_symmetry_space_group_name_Hall '-I 2 2 3'
loop_
_atom_site_label
_atom_site_type_symbol
_atom_site_fract_x
_atom_site_fract_y
_atom_site_fract_z
La1 La 0.0000 0.0000 0.0000
Pm1 Pm 0.0000 0.0000 0.5000
Pm2 Pm 0.2500 0.2500 0.2500
Nd1 Nd 0.0000 0.2528 0.2520
# distance to the lowest polymorph of the same formula: 378.9 meV per atom
# total magnetization: 0.00 μB per formula unit
# V: 39.810 Å³/atom
# crystal system: cubic

# PBE-GGA La6Pm2Nd3, optimized geometry
data_La6Pm2Nd3
_cell_length_a 6.4444
_cell_length_b 8.2624
_cell_length_c 8.2663
_cell_angle_alpha 107.32
_cell_angle_beta 97.02
_cell_angle_gamma 104.95
_symmetry_space_group_name_H-M 'P -1'
_symmetry_Int_Tables_number 2
loop_
_symmetry_equiv_pos_as_xyz
'x,y,z'
'-x,-y,-z'
loop_
_atom_site_label
_atom_site_type_symbol
_atom_site_fract_x
_atom_site_fract_y
_atom_site_fract_z
La1 La 0.0463 0.1805 0.4089
La2 La 0.1354 0.5455 0.2278
La3 La 0.3195 0.2719 0.8655
Pm1 Pm 0.2272 0.9101 0.0463
Nd1 Nd 0.4089 0.6375 0.6830
Nd2 Nd 0.5000 0.0000 0.5000
# distance to the lowest polymorph of the same formula: 0.0 meV per atom
# total magnetization: 0.00 μB per formula unit
# V: 36.038 Å³/atom
# crystal system: triclinic

# PBE-GGA La7Pm4Nd, optimized geometry
data_La7Pm4Nd
_cell_length_a 6.4841
_cell_length_b 7.4428
_cell_length_c 9.2315
_cell_angle_alpha 89.93
_cell_angle_beta 76.53
_cell_angle_gamma 89.98
_symmetry_space_group_name_H-M 'P -1'
_symmetry_Int_Tables_number 2
loop_
_symmetry_equiv_pos_as_xyz
'x,y,z'
'-x,-y,-z'
loop_
_atom_site_label
_atom_site_type_symbol
_atom_site_fract_x
_atom_site_fract_y
_atom_site_fract_z
La1 La 0.0000 0.0000 0.0000
La2 La 0.2205 0.4991 0.3324
La3 La 0.2809 0.7512 0.6662
La4 La 0.4992 0.7508 0.0009
Pm1 Pm 0.2203 0.9999 0.3321
Pm2 Pm 0.2776 0.2485 0.6697
Nd1 Nd 0.0000 0.5000 0.0000
# distance to the lowest polymorph of the same formula: 0.0 meV per atom
# total magnetization: 0.00 μB per formula unit
# V: 36.105 Å³/atom
# crystal system: triclinic

| no. | DOS at the Fermi energy (states/eV/atom) | DFT formation energy (eV per atom) |
| --- | --- | --- |
| 1 | 1.465 | 0.2011 |
| 2 | 1.422 | 0.0125 |
| 3 | 1.805 | 0.3833 |
| 4 | 1.775 | 0.5541 |
| 5 | 1.644 | 0.0553 |
| 6 | 1.467 | 0.1305 |
| 7 | 1.451 | 0.2145 |
| 8 | 1.606 | 0.0170 |
| 9 | 1.703 | 0.0951 |
| 10 | 1.360 | 0.5893 |
| 11 | 1.948 | 0.0162 |
| 12 | 1.683 | 0.0143 |